#P
CaSmZnPt: relaxed, PBE.

Summary:
* volume: 24.37 Å³ per atom
* density of states at the Fermi level: 0.55 states/eV per atom
* SG: Amm2, No. 38

The structure in CIF format:
```
data_CaSmZnPt
_symmetry_space_group_name_H-M 'P 1'
_symmetry_Int_Tables_number 1
_cell_length_a 4.2288
_cell_length_b 6.0494
_cell_length_c 6.0494
_cell_angle_alpha 39.05
_cell_angle_beta 90.00
_cell_angle_gamma 90.00
loop_
_symmetry_equiv_pos_as_xyz
'x,y,z'
loop_
_atom_site_label
_atom_site_fract_x
_atom_site_fract_y
_atom_site_fract_z
Ca1 0.0000 0.0000 0.0000
Sm1 0.5000 0.7145 0.7145
Zn1 0.5000 0.4244 0.4244
Pt1 0.0000 0.2765 0.2765
```

#Q
CaSmZnPt: relaxed, PBE.

Summary:
* volume: 22.71 Å³ per atom
* density of states at the Fermi level: 0.68 states/eV per atom
* SG: F-43m, No. 216

The structure in CIF format:
```
data_CaSmZnPt
_symmetry_space_group_name_H-M 'P 1'
_symmetry_Int_Tables_number 1
_cell_length_a 5.0461
_cell_length_b 5.0461
_cell_length_c 5.0461
_cell_angle_alpha 60.00
_cell_angle_beta 60.00
_cell_angle_gamma 60.00
loop_
_symmetry_equiv_pos_as_xyz
'x,y,z'
loop_
_atom_site_label
_atom_site_fract_x
_atom_site_fract_y
_atom_site_fract_z
Ca1 0.0000 0.0000 0.0000
Sm1 0.5000 0.5000 0.5000
Zn1 0.7500 0.7500 0.7500
Pt1 0.2500 0.2500 0.2500
```

Relative calculated energies, zero for the most stable structure, unit eV/atom: #P 0.000; #Q 0.047.

#P
Ca2Sn3Pt2: relaxed, PBE.

Summary:
* volume: 23.55 Å³ per atom
* density of states at the Fermi level: 0.44 states/eV per atom
* SG: C2/m, No. 12

The structure in CIF format:
```
data_Ca2Sn3Pt2
_symmetry_space_group_name_H-M 'P 1'
_symmetry_Int_Tables_number 1
_cell_length_a 5.8712
_cell_length_b 5.8712
_cell_length_c 7.5899
_cell_angle_alpha 111.76
_cell_angle_beta 111.76
_cell_angle_gamma 43.40
loop_
_symmetry_equiv_pos_as_xyz
'x,y,z'
loop_
_atom_site_label
_atom_site_fract_x
_atom_site_fract_y
_atom_site_fract_z
Ca1 0.1514 0.1514 0.3002
Ca2 0.8486 0.8486 0.6998
Sn1 0.3766 0.3766 0.0492
Sn2 0.5000 0.5000 0.5000
Sn3 0.6234 0.6234 0.9508
Pt1 0.1428 0.1428 0.7285
Pt2 0.8572 0.8572 0.2715
```

#Q
Ca2Sn3Pt2: relaxed, PBE.

Summary:
* volume: 23.93 Å³ per atom
* density of states at the Fermi level: 0.42 states/eV per atom
* SG: Cmcm, No. 63

The structure in CIF format:
```
data_Ca2Sn3Pt2
_symmetry_space_group_name_H-M 'P 1'
_symmetry_Int_Tables_number 1
_cell_length_a 10.0468
_cell_length_b 10.0468
_cell_length_c 7.6508
_cell_angle_alpha 90.00
_cell_angle_beta 90.00
_cell_angle_gamma 154.29
loop_
_symmetry_equiv_pos_as_xyz
'x,y,z'
loop_
_atom_site_label
_atom_site_fract_x
_atom_site_fract_y
_atom_site_fract_z
Ca1 0.0547 0.9453 0.7500
Ca2 0.1635 0.8365 0.2500
Ca3 0.8365 0.1635 0.7500
Ca4 0.9453 0.0547 0.2500
Sn1 0.2215 0.7785 0.7500
Sn2 0.4323 0.5677 0.5637
Sn3 0.4323 0.5677 0.9363
Sn4 0.5677 0.4323 0.0637
Sn5 0.5677 0.4323 0.4363
Sn6 0.7785 0.2215 0.2500
Pt1 0.3020 0.6980 0.0478
Pt2 0.3020 0.6980 0.4522
Pt3 0.6980 0.3020 0.5478
Pt4 0.6980 0.3020 0.9522
```

Relative calculated energies, zero for the most stable structure, unit eV/atom: #P 0.000; #Q 0.063.

#P
Ca2Sn3Pt: relaxed, PBE.

Summary:
* volume: 26.25 Å³ per atom
* density of states at the Fermi level: 0.31 states/eV per atom
* SG: Pmm2, No. 25

The structure in CIF format:
```
data_Ca2Sn3Pt
_symmetry_space_group_name_H-M 'P 1'
_symmetry_Int_Tables_number 1
_cell_length_a 3.9467
_cell_length_b 4.8472
_cell_length_c 8.2331
_cell_angle_alpha 90.00
_cell_angle_beta 90.00
_cell_angle_gamma 90.00
loop_
_symmetry_equiv_pos_as_xyz
'x,y,z'
loop_
_atom_site_label
_atom_site_fract_x
_atom_site_fract_y
_atom_site_fract_z
Ca1 0.0000 0.0000 0.0000
Ca2 0.0000 0.5000 0.4549
Sn1 0.5000 0.0000 0.6141
Sn2 0.5000 0.5000 0.1521
Sn3 0.5000 0.5000 0.8035
Pt1 0.5000 0.0000 0.2911
```

#Q
Ca2Sn3Pt: relaxed, PBE.

Summary:
* volume: 25.68 Å³ per atom
* density of states at the Fermi level: 0.53 states/eV per atom
* SG: Cm, No. 8

The structure in CIF format:
```
data_Ca2Sn3Pt
_symmetry_space_group_name_H-M 'P 1'
_symmetry_Int_Tables_number 1
_cell_length_a 6.0291
_cell_length_b 6.0291
_cell_length_c 7.6374
_cell_angle_alpha 126.91
_cell_angle_beta 126.91
_cell_angle_gamma 47.31
loop_
_symmetry_equiv_pos_as_xyz
'x,y,z'
loop_
_atom_site_label
_atom_site_fract_x
_atom_site_fract_y
_atom_site_fract_z
Ca1 0.0000 0.0000 0.0000
Ca2 0.1129 0.1129 0.6106
Sn1 0.3830 0.3830 0.1988
Sn2 0.4322 0.4322 0.6547
Sn3 0.7278 0.7278 0.3894
Pt1 0.7409 0.7409 0.0391
```

Relative calculated energies, zero for the most stable structure, unit eV/atom: #P 0.063; #Q 0.000.

#P
SrCa2Pt: relaxed, PBE.

Summary:
* volume: 29.72 Å³ per atom
* density of states at the Fermi level: 0.56 states/eV per atom
* SG: I4/mmm, No. 139

The structure in CIF format:
```
data_SrCa2Pt
_symmetry_space_group_name_H-M 'P 1'
_symmetry_Int_Tables_number 1
_cell_length_a 6.2763
_cell_length_b 6.2763
_cell_length_c 6.2763
_cell_angle_alpha 135.71
_cell_angle_beta 135.71
_cell_angle_gamma 64.43
loop_
_symmetry_equiv_pos_as_xyz
'x,y,z'
loop_
_atom_site_label
_atom_site_fract_x
_atom_site_fract_y
_atom_site_fract_z
Sr1 0.0000 0.0000 0.0000
Ca1 0.2500 0.7500 0.5000
Ca2 0.7500 0.2500 0.5000
Pt1 0.5000 0.5000 0.0000
```

#Q
SrCa2Pt: relaxed, PBE.

Summary:
* volume: 38.58 Å³ per atom
* density of states at the Fermi level: 0.69 states/eV per atom
* SG: Cmmm, No. 65

The structure in CIF format:
```
data_SrCa2Pt
_symmetry_space_group_name_H-M 'P 1'
_symmetry_Int_Tables_number 1
_cell_length_a 6.7239
_cell_length_b 6.7239
_cell_length_c 4.2070
_cell_angle_alpha 90.00
_cell_angle_beta 90.00
_cell_angle_gamma 125.77
loop_
_symmetry_equiv_pos_as_xyz
'x,y,z'
loop_
_atom_site_label
_atom_site_fract_x
_atom_site_fract_y
_atom_site_fract_z
Sr1 0.0000 0.0000 0.0000
Ca1 0.3429 0.6571 0.5000
Ca2 0.6571 0.3429 0.5000
Pt1 0.5000 0.5000 0.0000
```

Relative calculated energies, zero for the most stable structure, unit eV/atom: #P 0.289; #Q 0.000.

#P
SrCa2Pt: relaxed, PBE.

Summary:
* volume: 37.94 Å³ per atom
* density of states at the Fermi level: 0.51 states/eV per atom
* SG: R-3m, No. 166

The structure in CIF format:
```
data_SrCa2Pt
_symmetry_space_group_name_H-M 'P 1'
_symmetry_Int_Tables_number 1
_cell_length_a 10.3545
_cell_length_b 10.3545
_cell_length_c 10.3545
_cell_angle_alpha 23.24
_cell_angle_beta 23.24
_cell_angle_gamma 23.24
loop_
_symmetry_equiv_pos_as_xyz
'x,y,z'
loop_
_atom_site_label
_atom_site_fract_x
_atom_site_fract_y
_atom_site_fract_z
Sr1 0.0000 0.0000 0.0000
Ca1 0.2177 0.2177 0.2177
Ca2 0.7823 0.7823 0.7823
Pt1 0.5000 0.5000 0.5000
```

#Q
SrCa2Pt: relaxed, PBE.

Summary:
* volume: 33.40 Å³ per atom
* density of states at the Fermi level: 0.88 states/eV per atom
* SG: Immm, No. 71

The structure in CIF format:
```
data_SrCa2Pt
_symmetry_space_group_name_H-M 'P 1'
_symmetry_Int_Tables_number 1
_cell_length_a 7.1276
_cell_length_b 7.1276
_cell_length_c 7.1276
_cell_angle_alpha 149.62
_cell_angle_beta 132.70
_cell_angle_gamma 57.26
loop_
_symmetry_equiv_pos_as_xyz
'x,y,z'
loop_
_atom_site_label
_atom_site_fract_x
_atom_site_fract_y
_atom_site_fract_z
Sr1 0.0000 0.0000 0.0000
Ca1 0.3222 0.8222 0.5000
Ca2 0.6778 0.1778 0.5000
Pt1 0.5000 0.5000 0.0000
```

#R
SrCa2Pt: relaxed, PBE.

Summary:
* volume: 29.52 Å³ per atom
* density of states at the Fermi level: 1.07 states/eV per atom
* SG: P4/mmm, No. 123

The structure in CIF format:
```
data_SrCa2Pt
_symmetry_space_group_name_H-M 'P 1'
_symmetry_Int_Tables_number 1
_cell_length_a 4.7971
_cell_length_b 4.7971
_cell_length_c 5.1314
_cell_angle_alpha 90.00
_cell_angle_beta 90.00
_cell_angle_gamma 90.00
loop_
_symmetry_equiv_pos_as_xyz
'x,y,z'
loop_
_atom_site_label
_atom_site_fract_x
_atom_site_fract_y
_atom_site_fract_z
Sr1 0.0000 0.0000 0.0000
Ca1 0.0000 0.5000 0.5000
Ca2 0.5000 0.0000 0.5000
Pt1 0.5000 0.5000 0.0000
```

Relative calculated energies, zero for the most stable structure, unit eV/atom: #P 0.006; #Q 0.000; #R 0.233.

#P
SrCa2Pt: relaxed, PBE.

Summary:
* volume: 35.37 Å³ per atom
* density of states at the Fermi level: 0.79 states/eV per atom
* SG: Cm, No. 8

The structure in CIF format:
```
data_SrCa2Pt
_symmetry_space_group_name_H-M 'P 1'
_symmetry_Int_Tables_number 1
_cell_length_a 6.2356
_cell_length_b 6.2356
_cell_length_c 6.8767
_cell_angle_alpha 117.14
_cell_angle_beta 117.14
_cell_angle_gamma 37.13
loop_
_symmetry_equiv_pos_as_xyz
'x,y,z'
loop_
_atom_site_label
_atom_site_fract_x
_atom_site_fract_y
_atom_site_fract_z
Sr1 0.0000 0.0000 0.0000
Ca1 0.6416 0.6416 0.6550
Ca2 0.8220 0.8220 0.3188
Pt1 0.2815 0.2815 0.9927
```

#Q
SrCa2Pt: relaxed, PBE.

Summary:
* volume: 37.72 Å³ per atom
* density of states at the Fermi level: 0.50 states/eV per atom
* SG: R3m, No. 160

The structure in CIF format:
```
data_SrCa2Pt
_symmetry_space_group_name_H-M 'P 1'
_symmetry_Int_Tables_number 1
_cell_length_a 10.0074
_cell_length_b 10.0074
_cell_length_c 10.0074
_cell_angle_alpha 24.44
_cell_angle_beta 24.44
_cell_angle_gamma 24.44
loop_
_symmetry_equiv_pos_as_xyz
'x,y,z'
loop_
_atom_site_label
_atom_site_fract_x
_atom_site_fract_y
_atom_site_fract_z
Sr1 0.0000 0.0000 0.0000
Ca1 0.5488 0.5488 0.5488
Ca2 0.7801 0.7801 0.7801
Pt1 0.1639 0.1639 0.1639
```

Relative calculated energies, zero for the most stable structure, unit eV/atom: #P 0.000; #Q 0.018.